VASP calculation (PBE) on Bi3HS after structural relaxation.

Computed properties:
DOS(E_F) in states/eV per atom: 1.077
Density in Mg/m³: 9.5
Polymorph energy (0 for the lowest one) in kJ/mol of formula units: 0

a b c (Å): 4.875 4.875 4.875
angles (deg): 90.00 90.00 90.00
Atoms (fractional coordinates):
H1 0.000 0.000 0.000
Bi1 0.000 0.500 0.000
Bi2 0.500 0.000 0.000
Bi3 0.000 0.000 0.500
S1 0.500 0.500 0.500